Record 1
Compound: Tl3PbO6
Source: Alexandria via LeMat-Bulk
Functional: PBE
Structure: optimized geometry

Cell and atoms, written as POSCAR:
```
Tl3PbO6
1.0
2.946 1.701 5.130
-2.946 1.701 5.130
0.000 -3.401 5.130
Tl Pb O
3 1 6
Direct
0.000 0.000 0.000
0.221 0.221 0.221
0.723 0.723 0.723
0.504 0.504 0.504
0.117 0.402 0.811
0.319 0.898 0.609
0.402 0.811 0.117
0.609 0.319 0.898
0.811 0.117 0.402
0.898 0.609 0.319
```

Properties
crystal system	trigonal
formation energy (no corrections)	-69.7	kJ per mole of atoms
total magnetic moment	0.000	μB per atom
space-group type	R3, No. 146
D(E_F)	1.40	states/eV/f.u.
E_tot	-4.78	eV/atom
polymorph energy (0 for the lowest one)	7.0	meV per atom

***

Record 2
Compound: ScFeBr
Source: Alexandria via LeMat-Bulk
Functional: PBE
Structure: optimized geometry

Cell and atoms, written as POSCAR:
```
ScFeBr
1.0
0.000 2.928 2.928
2.928 0.000 2.928
2.928 2.928 0.000
Sc Fe Br
1 1 1
Direct
0.000 0.000 0.000
0.750 0.750 0.750
0.500 0.500 0.500
```

Properties
crystal system	cubic
formation energy (no corrections)	20.0	kJ per mole of atoms
total magnetic moment	0.000	μB per atom
space-group type	F-43m, No. 216
D(E_F)	3.27	states/eV/f.u.
E_tot	-5.28	eV/atom

***

Record 3
Compound: Nd5Te5C
Source: Alexandria via LeMat-Bulk
Functional: PBE
Structure: optimized geometry

Cell and atoms, written as POSCAR:
```
Nd5Te5C
1.0
6.935 -3.116 0.000
6.935 3.116 0.000
-2.881 0.000 8.201
Nd Te C
5 5 1
Direct
0.000 0.000 0.000
0.355 0.355 0.142
0.357 0.357 0.709
0.643 0.643 0.291
0.645 0.645 0.858
0.159 0.159 0.815
0.179 0.179 0.334
0.500 0.500 0.500
0.821 0.821 0.666
0.841 0.841 0.185
0.500 0.500 0.000
```

Properties
crystal system	monoclinic
formation energy (no corrections)	-110.7	kJ per mole of atoms
total magnetic moment	0.000	μB per atom
space-group type	C2/m, No. 12
D(E_F)	3.58	states/eV/f.u.
E_tot	-5.58	eV/atom

***

Record 4
Compound: Co2Ni4W
Source: Alexandria via LeMat-Bulk
Functional: PBE
Structure: optimized geometry

Cell and atoms, written as POSCAR:
```
Co2Ni4W
1.0
2.319 -4.150 0.000
2.319 4.150 0.000
-0.021 0.000 4.436
Co Ni W
2 4 1
Direct
0.003 0.003 0.256
0.997 0.997 0.744
0.000 0.500 0.000
0.337 0.663 0.500
0.500 0.000 0.000
0.663 0.337 0.500
0.500 0.500 0.000
```

Properties
crystal system	monoclinic
energy relative to the elements	0.22	eV/atom
total magnetic moment	0.361	μB per atom
space-group type	C2/m, No. 12
D(E_F)	8.89	states/eV/f.u.
E_tot	-6.96	eV/atom

***

Record 5
Compound: Tl2In5Sn
Source: Alexandria via LeMat-Bulk
Functional: PBE
Structure: optimized geometry

Cell and atoms, written as POSCAR:
```
Tl2In5Sn
1.0
7.045 0.000 0.000
0.000 7.045 0.000
0.000 0.000 5.606
Tl In Sn
2 5 1
Direct
0.000 0.500 0.000
0.500 0.000 0.000
0.000 0.000 0.000
0.292 0.292 0.500
0.292 0.708 0.500
0.708 0.292 0.500
0.708 0.708 0.500
0.000 0.000 0.500
```

Properties
crystal system	tetragonal
energy relative to the elements	0.21	eV/atom
total magnetic moment	0.000	μB per atom
space-group type	P4/mmm, No. 123
D(E_F)	3.96	states/eV/f.u.
E_tot	-2.59	eV/atom
polymorph energy (0 for the lowest one)	173.5	meV per atom